A relaxed Ac2MgHg crystal, computed with PBE.

Values from the calculation:
The energy above the most stable polymorph in this dataset comes out at 407 meV/atom. For the formation energy, the calculation gives 0.6 eV/f.u.

Cell and atoms, written as CIF:
```
data_Ac2MgHg
_space_group_name_H-M_alt 'R -3 m'
_space_group_IT_number 166
_space_group_name_Hall '-R 3 2"'
_cell_length_a 3.8141
_cell_length_b 3.8141
_cell_length_c 37.1296
_cell_angle_alpha 90.00
_cell_angle_beta 90.00
_cell_angle_gamma 120.00
loop_
_atom_site_label
_atom_site_type_symbol
_atom_site_fract_x
_atom_site_fract_y
_atom_site_fract_z
Ac1 Ac 0.0000 0.0000 0.0922
Mg1 Mg 0.0000 0.0000 0.5000
Hg1 Hg 0.0000 0.0000 0.0000
```